SrCoP2O8 after structural relaxation. Source: Alexandria, functional PBE with a Hubbard U.

Total energy: -6.782 eV per atom
Symmetry: R-3

a b c (Å): 4.7044 4.7044 7.8733
angles (deg): 72.62 72.62 60.00
Site moments in Bohr magnetons follow the coordinates.
Element x y z (fractional)
1 Co 0.0000 0.0000 0.0000  1.08
2 O 0.0209 0.3875 0.8479  0.00
3 O 0.1931 0.1931 0.4206  -0.01
4 O 0.3875 0.7437 0.8479  0.00
5 O 0.6125 0.2563 0.1521  0.00
6 O 0.9791 0.6125 0.1521  0.00
7 O 0.2563 0.9791 0.1521  0.00
8 O 0.8069 0.8069 0.5794  -0.01
9 O 0.7437 0.0209 0.8479  0.00
10 P 0.7375 0.7375 0.7874  0.00
11 P 0.2625 0.2625 0.2126  0.00
12 Sr 0.5000 0.5000 0.5000  0.00